# MgAgSO

A relaxed MgAgSO crystal (PBE-GGA, OQMD).

The structure in POSCAR format:
```
MgAgSO
1.0
3.743 0.000 0.000
0.000 3.743 0.000
0.000 0.000 9.617
Ag Mg O S
2 2 2 2
direct
0.750 0.750 0.114
0.250 0.250 0.886
0.250 0.250 0.316
0.750 0.750 0.684
0.250 0.250 0.126
0.750 0.750 0.874
0.750 0.250 0.500
0.250 0.750 0.500
```

Output
The calculation puts the energy above the lowest structure with this stoichiometry at 0.6458 eV/atom.

=====

# MgAgSO

A relaxed MgAgSO crystal (PBE-GGA, OQMD).

The structure in POSCAR format:
```
MgAgSO
1.0
-1.542 -1.142 -2.649
2.369 -1.767 1.402
-9.058 -5.932 7.833
Ag Mg O S
2 2 2 2
direct
0.000 0.000 0.482
0.000 0.000 0.982
0.333 0.667 0.276
0.667 0.333 0.776
0.000 0.000 0.317
0.000 0.000 0.817
0.667 0.333 0.112
0.333 0.667 0.612
```

Output
The calculation puts the energy above the lowest structure with this stoichiometry at 0.0914 eV/atom.

=====

# MgAgSO

A relaxed MgAgSO crystal (PBE-GGA, OQMD).

The structure in POSCAR format:
```
MgAgSO
1.0
6.409 0.000 0.000
0.000 8.063 0.000
0.000 0.000 5.133
Ag Mg O S
4 4 4 4
direct
0.969 0.340 0.074
0.469 0.660 0.074
0.531 0.340 0.574
0.031 0.660 0.574
0.110 0.078 0.489
0.610 0.922 0.489
0.390 0.078 0.989
0.890 0.922 0.989
0.103 0.076 0.108
0.603 0.924 0.108
0.397 0.076 0.608
0.897 0.924 0.608
0.558 0.356 0.079
0.058 0.644 0.079
0.942 0.356 0.579
0.442 0.644 0.579
```

Output
The calculation puts the energy above the lowest structure with this stoichiometry at 0.0000 eV/atom.